This record from Alexandria via LeMat-Bulk describes a relaxed ZnS4 crystal. The functional is GGA-PBE.

Cell lengths 3.938, 5.166, 7.171 Å; angles 75.28, 87.57, 71.82 degrees
Positions (direct):
1 Zn 0.000 0.000 0.000
2 S 0.168 0.285 0.533
3 S 0.327 0.242 0.810
4 S 0.673 0.758 0.190
5 S 0.832 0.715 0.467

symmetry	No. 2
formation energy (no corrections)	-0.11	eV/f.u.
offset from the most stable computed form	0	meV/atom
E	-17.9	eV for the cell shown



This record from Alexandria via LeMat-Bulk describes a relaxed ZnS4 crystal. The functional is GGA-PBE.

Cell lengths 4.625, 4.625, 4.625 Å; angles 90.00, 90.00, 90.00 degrees
Positions (direct):
1 Zn 0.000 0.000 0.000
2 S 0.000 0.000 0.500
3 S 0.000 0.500 0.000
4 S 0.500 0.000 0.000
5 S 0.500 0.500 0.500

symmetry	No. 221
formation energy (no corrections)	4.83	eV/f.u.
offset from the most stable computed form	987	meV/atom
E	-13.0	eV for the cell shown



This record from Alexandria via LeMat-Bulk describes a relaxed ZnS8 crystal. The functional is GGA-PBE.

Cell lengths 5.881, 5.881, 8.907 Å; angles 103.54, 103.54, 73.52 degrees
Positions (direct):
1 Zn 0.000 0.000 0.000
2 S 0.007 0.007 0.268
3 S 0.213 0.213 0.408
4 S 0.263 0.263 0.047
5 S 0.368 0.368 0.274
6 S 0.632 0.632 0.726
7 S 0.737 0.737 0.953
8 S 0.787 0.787 0.592
9 S 0.993 0.993 0.732

symmetry	No. 12
formation energy (no corrections)	0.45	eV/f.u.
E	-33.8	eV for the cell shown



This record from Alexandria via LeMat-Bulk describes a relaxed ZrZnS3 crystal. The functional is GGA-PBE.

Cell lengths 4.575, 4.575, 4.575 Å; angles 90.00, 90.00, 90.00 degrees
Positions (direct):
1 Zr 0.000 0.000 0.000
2 Zn 0.500 0.500 0.500
3 S 0.000 0.500 0.500
4 S 0.500 0.000 0.500
5 S 0.500 0.500 0.000

symmetry	No. 221
formation energy (no corrections)	-0.14	eV/f.u.
offset from the most stable computed form	1011	meV/atom
E	-22.3	eV for the cell shown